First-principles (SCAN) data for Co3Br4 at its PBEsol-relaxed geometry, as listed in Alexandria via LeMat-Bulk.

Structure (POSCAR):
```
Co3Br4
1.0
5.416 0.000 0.000
-2.708 4.690 0.000
0.000 0.000 5.057
Co Br
3 4
Cartesian
-1.354 2.345 0.000 Co
2.708 0.000 0.000 Co
1.354 2.345 0.000 Co
0.000 0.000 1.255 Br
0.000 0.000 3.802 Br
0.000 3.127 2.529 Br
2.708 1.563 2.529 Br
```

Values from the calculation:
Uncorrected formation energy = 0.6595 eV per atom
Fermi-level density of states = 5.23 states/eV/f.u.


First-principles (SCAN) data for CoBr2 at its PBEsol-relaxed geometry, as listed in Alexandria via LeMat-Bulk.

Structure (POSCAR):
```
CoBr2
1.0
4.097 0.000 0.000
-2.048 3.548 0.000
0.000 0.000 9.429
Co Br
2 4
Cartesian
0.000 2.365 2.357 Co
2.048 1.183 7.072 Co
0.000 0.000 0.000 Br
0.000 0.000 4.714 Br
0.000 2.365 7.072 Br
2.048 1.183 2.357 Br
```

Values from the calculation:
Uncorrected formation energy = 0.1036 eV per atom
Fermi-level density of states = 1.35 states/eV/f.u.


First-principles (SCAN) data for CoBr2 at its PBEsol-relaxed geometry, as listed in Alexandria via LeMat-Bulk.

Structure (POSCAR):
```
CoBr2
1.0
3.605 0.000 0.000
-1.803 3.122 0.000
0.000 0.000 6.294
Co Br
1 2
Cartesian
0.000 0.000 0.000 Co
0.000 2.081 1.431 Br
1.803 1.041 4.863 Br
```

Values from the calculation:
Uncorrected formation energy = -0.4224 eV per atom
Fermi-level density of states = 3.35 states/eV/f.u.


First-principles (SCAN) data for Co4Br5 at its PBEsol-relaxed geometry, as listed in Alexandria via LeMat-Bulk.

Structure (POSCAR):
```
Co4Br5
1.0
-5.202 5.202 1.619
5.202 -5.202 1.619
5.202 5.202 -1.619
Co Br
4 5
Cartesian
3.983 0.000 0.000 Co
6.421 0.000 0.000 Co
0.000 3.983 0.000 Co
0.000 6.421 0.000 Co
0.000 0.000 0.000 Br
3.467 3.467 0.000 Br
1.735 -1.735 1.619 Br
-1.735 1.735 1.619 Br
1.735 1.735 1.619 Br
```

Values from the calculation:
Uncorrected formation energy = 0.7672 eV per atom
Fermi-level density of states = 6.91 states/eV/f.u.


First-principles (SCAN) data for CoBr5 at its PBEsol-relaxed geometry, as listed in Alexandria via LeMat-Bulk.

Structure (POSCAR):
```
CoBr5
1.0
1.730 -6.672 0.000
1.730 6.672 0.000
0.000 0.000 7.409
Co Br
1 5
Cartesian
0.000 0.000 0.000 Co
1.730 4.446 3.705 Br
1.730 1.540 0.000 Br
1.730 0.000 3.705 Br
1.730 -1.540 0.000 Br
1.730 -4.446 3.705 Br
```

Values from the calculation:
Uncorrected formation energy = -0.0024 eV per atom
Fermi-level density of states = 1.97 states/eV/f.u.


First-principles (SCAN) data for Co2Br at its PBEsol-relaxed geometry, as listed in Alexandria via LeMat-Bulk.

Structure (POSCAR):
```
Co2Br
1.0
1.781 -8.043 0.000
1.781 8.043 0.000
0.000 0.000 3.519
Co Br
4 2
Cartesian
1.781 7.262 2.639 Co
1.781 0.811 2.639 Co
1.781 -0.811 0.880 Co
1.781 -7.262 0.880 Co
1.781 2.548 0.880 Br
1.781 -2.548 2.639 Br
```

Values from the calculation:
E above lowest polymorph = 0.000 eV/atom
Uncorrected formation energy = -0.0071 eV per atom
Fermi-level density of states = 1.47 states/eV/f.u.


First-principles (SCAN) data for CoBr2 at its PBEsol-relaxed geometry, as listed in Alexandria via LeMat-Bulk.

Structure (POSCAR):
```
CoBr2
1.0
6.640 -1.680 0.000
6.640 1.680 0.000
-2.605 0.000 6.972
Co Br
2 4
Cartesian
-0.244 0.000 1.103 Co
10.919 0.000 5.869 Co
2.829 0.000 5.000 Br
4.717 0.000 1.273 Br
5.958 0.000 5.699 Br
7.845 0.000 1.971 Br
```

Values from the calculation:
Uncorrected formation energy = -0.2441 eV per atom
Fermi-level density of states = 1.21 states/eV/f.u.


First-principles (SCAN) data for CoBr2 at its PBEsol-relaxed geometry, as listed in Alexandria via LeMat-Bulk.

Structure (POSCAR):
```
CoBr2
1.0
6.532 -1.738 0.000
6.532 1.738 0.000
-5.926 0.000 6.824
Co Br
2 4
Cartesian
2.340 0.000 0.800 Co
4.798 0.000 6.024 Co
-1.160 0.000 4.439 Br
4.712 0.000 0.941 Br
2.427 0.000 5.883 Br
8.299 0.000 2.384 Br
```

Values from the calculation:
Uncorrected formation energy = -0.4515 eV per atom


First-principles (SCAN) data for CrCoBr2 at its PBEsol-relaxed geometry, as listed in Alexandria via LeMat-Bulk.

Structure (POSCAR):
```
CrCoBr2
1.0
0.000 3.357 3.357
3.357 0.000 3.357
3.357 3.357 0.000
Cr Co Br
1 1 2
Cartesian
0.000 0.000 0.000 Cr
1.678 1.678 1.678 Co
3.357 3.357 3.357 Br
5.035 5.035 5.035 Br
```

Values from the calculation:
E above lowest polymorph = 0.694 eV/atom
Uncorrected formation energy = 0.6092 eV per atom
Fermi-level density of states = 2.01 states/eV/f.u.


First-principles (SCAN) data for CrCo2Br at its PBEsol-relaxed geometry, as listed in Alexandria via LeMat-Bulk.

Structure (POSCAR):
```
CrCo2Br
1.0
0.000 2.882 2.882
2.882 0.000 2.882
2.882 2.882 0.000
Cr Co Br
1 2 1
Cartesian
0.000 0.000 0.000 Cr
1.441 1.441 1.441 Co
2.882 2.882 2.882 Co
4.323 4.323 4.323 Br
```

Values from the calculation:
E above lowest polymorph = 0.168 eV/atom
Uncorrected formation energy = 1.0048 eV per atom
Fermi-level density of states = 1.48 states/eV/f.u.


First-principles (SCAN) data for CrCo2Br at its PBEsol-relaxed geometry, as listed in Alexandria via LeMat-Bulk.

Structure (POSCAR):
```
CrCo2Br
1.0
2.821 0.000 0.000
0.000 4.135 0.000
0.000 0.000 4.222
Cr Co Br
1 2 1
Cartesian
0.000 0.000 0.000 Cr
0.000 2.068 2.111 Co
1.410 2.068 0.000 Co
1.410 0.000 2.111 Br
```

Values from the calculation:
E above lowest polymorph = 0.001 eV/atom
Uncorrected formation energy = 0.8384 eV per atom
Fermi-level density of states = 2.25 states/eV/f.u.


First-principles (SCAN) data for CrCoBr2 at its PBEsol-relaxed geometry, as listed in Alexandria via LeMat-Bulk.

Structure (POSCAR):
```
CrCoBr2
1.0
1.809 1.044 7.798
-1.809 1.044 7.798
0.000 -2.089 7.798
Cr Co Br
1 1 2
Cartesian
0.000 0.000 0.000 Cr
0.000 0.000 11.697 Co
0.000 0.000 2.498 Br
0.000 0.000 20.895 Br
```

Values from the calculation:
E above lowest polymorph = 0.000 eV/atom
Uncorrected formation energy = -0.0851 eV per atom
Fermi-level density of states = 4.12 states/eV/f.u.


- Which value of uncorrected formation energy does entry 5 give?
  -0.0024 eV per atom